No. 1
Material: LaReF3
Method: DFT, GGA-PBE
State: optimized geometry

**Polymorph energy (0 for the lowest one)**: 64.5 kJ per mole of atoms
**Total magnetization**: 0.00 μB/f.u.
**Fermi-level density of states**: 5.8 states/eV/cell
**Final energy**: -5.613 eV per atom
**Formation energy without anion corrections**: -1.015 eV per atom

Unit cell a=4.3285 b=4.3285 c=4.3285 alpha=90.00 beta=90.00 gamma=90.00
Fractional coordinates of all 5 atoms:
Re1 0.0000 0.0000 0.0000
F1 0.0000 0.5000 0.0000
F2 0.0000 0.0000 0.5000
F3 0.5000 0.0000 0.0000
La1 0.5000 0.5000 0.5000

No. 2
Material: LuTiMo
Method: DFT, GGA-PBE
State: optimized geometry

**Total magnetization**: 0.00 μB/f.u.
**Fermi-level density of states**: 3.3 states/eV/cell
**Final energy**: -7.709 eV per atom

Unit cell a=3.3904 b=3.3904 c=5.7489 alpha=107.15 beta=107.15 gamma=90.00
Fractional coordinates of all 3 atoms:
Ti1 0.2989 0.2989 0.5979
Mo1 0.6937 0.6937 0.3873
Lu1 0.0074 0.0074 0.0148